A plane-wave DFT calculation with GGA+U was carried out for crystalline SmCoO3 at its relaxed geometry.

Summary:
E_tot = -7.15 eV/atom
total magnetization = 0.4004 μB per atom
SG = Pnma (62)

```
SmCoO3
1.0
5.289 0.000 0.000
0.000 5.546 0.000
0.000 0.000 7.610
O Co Sm
12 4 4
Direct
0.585 0.017 0.750
0.704 0.299 0.045
0.204 0.201 0.545
0.085 0.483 0.250
0.296 0.701 0.545
0.915 0.517 0.750
0.796 0.799 0.455
0.415 0.983 0.250
0.704 0.299 0.455
0.296 0.701 0.955
0.796 0.799 0.045
0.204 0.201 0.955
0.500 0.000 0.500
0.000 0.500 0.500
0.000 0.500 0.000
0.500 0.000 0.000
0.516 0.565 0.250
0.484 0.435 0.750
0.016 0.935 0.750
0.984 0.065 0.250
```